No. 1
MgCoAu2 (GGA-PBEsol, optimized geometry); M_tot = 1.45 Bohr magnetons per cell; energy relative to the elements = -0.3 eV/f.u.
1.0
-2.633 -0.356 1.323
-1.935 -0.881 -4.089
2.637 -3.986 0.848
Au Co Mg
2 1 1
Cartesian
-1.893 -5.185 -1.833
-1.186 -2.581 0.275
0.402 -4.566 -0.428
-0.831 -2.716 -2.385

---

No. 2
Ca2FeRe (GGA-PBEsol, optimized geometry); M_tot = 4.48 Bohr magnetons per cell; polymorph energy (0 for the lowest one) = 0.7666 eV per atom; energy relative to the elements = 4.6 eV/f.u.
1.0
4.804 0.000 0.000
2.402 4.160 0.000
2.402 1.387 4.018
Re Ca Fe
1 2 1
Cartesian
0.000 0.000 0.000
2.402 1.387 1.010
7.206 4.160 3.009
4.804 2.774 2.009

---

No. 3
SnS2O (GGA-PBEsol, optimized geometry); M_tot = 0.00 Bohr magnetons per cell; polymorph energy (0 for the lowest one) = 0.0000 eV per atom; uncorrected formation energy = 0.330 eV per atom
1.0
5.657 0.172 0.263
-2.269 5.185 -0.263
-2.269 -2.315 4.647
S Sn O
4 2 2
Cartesian
3.785 2.855 0.680
-1.532 -0.530 2.871
-1.312 2.705 3.721
1.297 1.055 2.022
0.559 3.396 1.096
0.000 0.000 0.000
0.559 -0.354 3.551
-2.269 1.435 2.192

---

Question: Look up the M_tot of the third one.
Answer: 0.00 Bohr magnetons per cell